# 1
A plane-wave DFT calculation with PBE-GGA was carried out for AlAs3 after structural relaxation.

a = 3.1193 Å, b = 11.1254 Å, c = 4.9603 Å
α = 90.00°, β = 90.00°, γ = 90.00°
Space group Imm2 (No. 44)
Inequivalent atoms, fractional coordinates:
Al1 0.0000 0.0000 0.0000 [2 per cell]
As1 0.0000 0.3341 0.7212 [4 per cell]
As2 0.0000 0.5000 0.0630 [2 per cell]

Energy relative to the lowest polymorph listed for this composition ... 218 meV/atom
Total DFT energy (no corrections) ... -4.30 eV/atom
ΔE_f ... 0.118 eV per atom

=====

# 2
A plane-wave DFT calculation with PBE-GGA was carried out for Sm4SeS2Cl after structural relaxation.

a = 8.1540 Å, b = 11.4403 Å, c = 8.0826 Å
α = 90.00°, β = 90.00°, γ = 90.00°
Space group Fmm2 (No. 42)
Inequivalent atoms, fractional coordinates:
Sm1 0.0000 0.2487 0.0000 [8 per cell]
Sm2 0.2254 0.0000 0.7430 [8 per cell]
Se1 0.0000 0.0000 0.0181 [4 per cell]
S1 0.2500 0.2500 0.2501 [8 per cell]
Cl1 0.0000 0.0000 0.4686 [4 per cell]

Formation energy without anion corrections ... -1.75 eV/atom
Total DFT energy (no corrections) ... -5.80 eV/atom

=====

# 3
A plane-wave DFT calculation with PBE-GGA was carried out for NdTmTh2Sb5 after structural relaxation.

a = 5.2204 Å, b = 5.2204 Å, c = 11.6115 Å
α = 90.00°, β = 90.00°, γ = 90.00°
Space group P4/mmm (No. 123)
Inequivalent atoms, fractional coordinates:
Nd1 0.0000 0.0000 0.0000 [1 per cell]
Tm1 0.0000 0.0000 0.5000 [1 per cell]
Th1 0.5000 0.5000 0.3011 [2 per cell]
Sb1 0.0000 0.0000 0.2522 [2 per cell]
Sb2 0.0000 0.5000 0.5000 [2 per cell]
Sb3 0.5000 0.5000 0.0000 [1 per cell]

Formation energy without anion corrections ... -0.25 eV/atom
Total DFT energy (no corrections) ... -5.21 eV/atom

=====

# 4
A plane-wave DFT calculation with PBE-GGA was carried out for BeNi2Pt after structural relaxation.

a = 3.3581 Å, b = 3.3581 Å, c = 17.3867 Å
α = 90.00°, β = 90.00°, γ = 90.00°
Space group I-42d (No. 122)
Inequivalent atoms, fractional coordinates:
Be1 0.0000 0.0000 0.0000 [4 per cell]
Ni1 0.2377 0.2500 0.1250 [8 per cell]
Pt1 0.0000 0.0000 0.5000 [4 per cell]

Total DFT energy (no corrections) ... -5.29 eV/atom
ΔE_f ... 0.045 eV per atom

=====

# 5
A plane-wave DFT calculation with PBE-GGA was carried out for Mg7Ag3 after structural relaxation.

a = 8.9610 Å, b = 8.9610 Å, c = 6.0447 Å
α = 90.00°, β = 90.00°, γ = 120.00°
Space group P6_3mc (No. 186)
Inequivalent atoms, fractional coordinates:
Mg1 0.0584 0.5292 0.0000 [6 per cell]
Mg2 0.1220 0.2440 0.2557 [6 per cell]
Mg3 0.3333 0.6667 0.3585 [2 per cell]
Ag1 0.2077 0.4154 0.6873 [6 per cell]

Energy relative to the lowest polymorph listed for this composition ... 20 meV/atom
Total DFT energy (no corrections) ... -2.10 eV/atom
ΔE_f ... -0.125 eV per atom

=====

# 6
A plane-wave DFT calculation with PBE-GGA was carried out for YZnOs2 after structural relaxation.

a = 2.9442 Å, b = 3.9781 Å, c = 6.0163 Å
α = 90.00°, β = 90.00°, γ = 90.00°
Space group Pmmm (No. 47)
Inequivalent atoms, fractional coordinates:
Y1 0.0000 0.0000 0.0000 [1 per cell]
Zn1 0.0000 0.0000 0.5000 [1 per cell]
Os1 0.5000 0.5000 0.2996 [2 per cell]

Total DFT energy (no corrections) ... -7.29 eV/atom
ΔE_f ... 0.263 eV per atom